(1)
# BaNd2Pt (PBE, optimized geometry)
# Fermi-level density of states ... 4.027 states/eV/f.u.
# Offset from the most stable computed form ... 0 meV per atom
# E_form ... -198 kJ/mol of formula units
# Magnetic moment ... 0.00 μB/cell
data_BaNd2Pt
_chemical_formula_sum 'Ba3 Nd6 Pt3'
_space_group_name_H-M_alt 'R 3 m'
_space_group_IT_number 160
_space_group_name_Hall 'R 3 -2"'
_cell_length_a 4.3229
_cell_length_b 4.3229
_cell_length_c 29.2639
_cell_angle_alpha 90.00
_cell_angle_beta 90.00
_cell_angle_gamma 120.00
loop_
_atom_site_label
_atom_site_type_symbol
_atom_site_fract_x
_atom_site_fract_y
_atom_site_fract_z
Ba1 Ba 0.0000 0.0000 0.0000
Nd1 Nd 0.0000 0.0000 0.5488
Nd2 Nd 0.0000 0.0000 0.7812
Pt1 Pt 0.0000 0.0000 0.1652



(2)
# SrTa2Ag (PBE, optimized geometry)
# Fermi-level density of states ... 5.668 states/eV/f.u.
# Offset from the most stable computed form ... 442 meV per atom
# E_form ... 333 kJ/mol of formula units
# Magnetic moment ... 0.00 μB/cell
data_SrTa2Ag
_chemical_formula_sum 'Sr2 Ta4 Ag2'
_space_group_name_H-M_alt 'I 4/m m m'
_space_group_IT_number 139
_space_group_name_Hall '-I 4 2'
_cell_length_a 4.1037
_cell_length_b 4.1037
_cell_length_c 10.7080
_cell_angle_alpha 90.00
_cell_angle_beta 90.00
_cell_angle_gamma 90.00
loop_
_atom_site_label
_atom_site_type_symbol
_atom_site_fract_x
_atom_site_fract_y
_atom_site_fract_z
Sr1 Sr 0.0000 0.0000 0.0000
Ta1 Ta 0.0000 0.5000 0.2500
Ag1 Ag 0.0000 0.0000 0.5000



(3)
# Ac4Al2Pb5 (PBE, optimized geometry)
# Fermi-level density of states ... 2.905 states/eV/f.u.
# E_form ... -495 kJ/mol of formula units
# Magnetic moment ... 0.00 μB/cell
data_Ac4Al2Pb5
_chemical_formula_sum 'Ac4 Al2 Pb5'
_space_group_name_H-M_alt 'P 1 2/m 1'
_space_group_IT_number 10
_space_group_name_Hall '-P 2y'
_cell_length_a 8.0002
_cell_length_b 4.8315
_cell_length_c 9.4588
_cell_angle_alpha 90.00
_cell_angle_beta 90.76
_cell_angle_gamma 90.00
loop_
_atom_site_label
_atom_site_type_symbol
_atom_site_fract_x
_atom_site_fract_y
_atom_site_fract_z
Ac1 Ac 0.2204 0.0000 0.3633
Ac2 Ac 0.2413 0.0000 0.8947
Al1 Al 0.0817 0.5000 0.1206
Pb1 Pb 0.1235 0.5000 0.6328
Pb2 Pb 0.4387 0.5000 0.1578
Pb3 Pb 0.5000 0.5000 0.5000



(4)
# PmTh2CuN4 (PBE, optimized geometry)
# Magnetic moment ... 0.00 μB/cell
# VASP energy ... -8.31 eV/atom
data_PmTh2CuN4
_chemical_formula_sum 'Pm4 Th8 Cu4 N16'
_space_group_name_H-M_alt 'C m c m'
_space_group_IT_number 63
_space_group_name_Hall '-C 2c 2'
_cell_length_a 3.6192
_cell_length_b 11.7593
_cell_length_c 11.9403
_cell_angle_alpha 90.00
_cell_angle_beta 90.00
_cell_angle_gamma 90.00
loop_
_atom_site_label
_atom_site_type_symbol
_atom_site_fract_x
_atom_site_fract_y
_atom_site_fract_z
Pm1 Pm 0.0000 0.1010 0.2500
Th1 Th 0.0000 0.3688 0.0601
Cu1 Cu 0.0000 0.1650 0.7500
N1 N 0.0000 0.0000 0.0000
N2 N 0.0000 0.2663 0.6148
N3 N 0.0000 0.4566 0.2500



(5)
# Ti6Co5Mo (PBE, optimized geometry)
# Fermi-level density of states ... 8.724 states/eV/f.u.
# E_form ... -421 kJ/mol of formula units
# Magnetic moment ... 3.45 μB/cell
data_Ti6Co5Mo
_chemical_formula_sum 'Ti12 Co10 Mo2'
_space_group_name_H-M_alt 'I m m m'
_space_group_IT_number 71
_space_group_name_Hall '-I 2 2'
_cell_length_a 4.2454
_cell_length_b 6.0268
_cell_length_c 12.7251
_cell_angle_alpha 90.00
_cell_angle_beta 90.00
_cell_angle_gamma 90.00
loop_
_atom_site_label
_atom_site_type_symbol
_atom_site_fract_x
_atom_site_fract_y
_atom_site_fract_z
Ti1 Ti 0.0000 0.2452 0.0000
Ti2 Ti 0.0000 0.2526 0.3316
Co1 Co 0.0000 0.0000 0.1696
Co2 Co 0.0000 0.5000 0.1688
Co3 Co 0.0000 0.5000 0.5000
Mo1 Mo 0.0000 0.0000 0.5000



(6)
# Ac4Tl2HgN2 (PBE, optimized geometry)
# Fermi-level density of states ... 5.012 states/eV/f.u.
# Magnetic moment ... 0.00 μB/cell
# VASP energy ... -4.92 eV/atom
data_Ac4Tl2HgN2
_chemical_formula_sum 'Ac8 Tl4 Hg2 N4'
_space_group_name_H-M_alt 'C 1 2/m 1'
_space_group_IT_number 12
_space_group_name_Hall '-C 2y'
_cell_length_a 19.4695
_cell_length_b 4.1455
_cell_length_c 7.7078
_cell_angle_alpha 90.00
_cell_angle_beta 110.46
_cell_angle_gamma 90.00
loop_
_atom_site_label
_atom_site_type_symbol
_atom_site_fract_x
_atom_site_fract_y
_atom_site_fract_z
Ac1 Ac 0.0638 0.0000 0.3601
Ac2 Ac 0.2286 0.5000 0.2766
Tl1 Tl 0.1079 0.5000 0.7763
Hg1 Hg 0.0000 0.5000 0.0000
N1 N 0.1867 0.0000 0.3925



(7)
# TiVNiS4 (PBE, optimized geometry)
# Fermi-level density of states ... 4.123 states/eV/f.u.
# Magnetic moment ... 4.53 μB/cell
# VASP energy ... -6.58 eV/atom
data_TiVNiS4
_chemical_formula_sum 'Ti4 V4 Ni4 S16'
_space_group_name_H-M_alt 'I m m a'
_space_group_IT_number 74
_space_group_name_Hall '-I 2b 2'
_cell_length_a 6.8791
_cell_length_b 6.9944
_cell_length_c 9.8019
_cell_angle_alpha 90.00
_cell_angle_beta 90.00
_cell_angle_gamma 90.00
loop_
_atom_site_label
_atom_site_type_symbol
_atom_site_fract_x
_atom_site_fract_y
_atom_site_fract_z
Ti1 Ti 0.0000 0.0000 0.0000
V1 V 0.2500 0.2500 0.2500
Ni1 Ni 0.0000 0.2500 0.6280
S1 S 0.0000 0.0090 0.2497
S2 S 0.2467 0.2500 0.0043



(8)
# BaAcZn2In2 (PBE, optimized geometry)
# Fermi-level density of states ... 3.487 states/eV/f.u.
# E_form ... -216 kJ/mol of formula units
# Magnetic moment ... 0.00 μB/cell
data_BaAcZn2In2
_chemical_formula_sum 'Ba1 Ac1 Zn2 In2'
_space_group_name_H-M_alt 'P -3 m 1'
_space_group_IT_number 164
_space_group_name_Hall '-P 3 2"'
_cell_length_a 4.9946
_cell_length_b 4.9946
_cell_length_c 8.4653
_cell_angle_alpha 90.00
_cell_angle_beta 90.00
_cell_angle_gamma 120.00
loop_
_atom_site_label
_atom_site_type_symbol
_atom_site_fract_x
_atom_site_fract_y
_atom_site_fract_z
Ba1 Ba 0.0000 0.0000 0.0000
Ac1 Ac 0.0000 0.0000 0.5000
Zn1 Zn 0.3333 0.6667 0.3000
In1 In 0.3333 0.6667 0.7156



(9)
# BaLiAl3P2H2O14 (PBE, optimized geometry)
# Fermi-level density of states ... 0.000 states/eV/f.u.
# Offset from the most stable computed form ... 0 meV per atom
# Magnetic moment ... 0.29 μB/cell
data_BaLiAl3P2H2O14
_chemical_formula_sum 'Ba2 Li2 Al6 P4 H4 O28'
_space_group_name_H-M_alt 'C 1 m 1'
_space_group_IT_number 8
_space_group_name_Hall 'C -2y'
_cell_length_a 12.6890
_cell_length_b 6.6166
_cell_length_c 7.5974
_cell_angle_alpha 90.00
_cell_angle_beta 122.43
_cell_angle_gamma 90.00
loop_
_atom_site_label
_atom_site_type_symbol
_atom_site_fract_x
_atom_site_fract_y
_atom_site_fract_z
Ba1 Ba 0.0000 0.0000 0.0000
Li1 Li 0.0416 0.5000 0.2380
Al1 Al 0.0029 0.0000 0.5097
Al2 Al 0.2535 0.2457 0.5049
P1 P 0.2196 0.5000 0.1278
P2 P 0.2836 0.0000 0.8729
H1 H 0.1736 0.5000 0.6548
H2 H 0.3243 0.0000 0.3438
O1 O 0.0946 0.1168 0.4094
O2 O 0.1406 0.0000 0.7872
O3 O 0.1504 0.5000 0.8948
O4 O 0.1801 0.3155 0.2168
O5 O 0.1813 0.5000 0.5312
O6 O 0.3129 0.0000 0.4622
O7 O 0.3143 0.1899 0.7841
O8 O 0.3645 0.5000 0.2337
O9 O 0.3656 0.0000 0.1100
O10 O 0.4069 0.3834 0.6000



(10)
# Ba2Zn3InGe4 (PBE, optimized geometry)
# Fermi-level density of states ... 3.156 states/eV/f.u.
# E_form ... -344 kJ/mol of formula units
# Magnetic moment ... 0.00 μB/cell
data_Ba2Zn3InGe4
_chemical_formula_sum 'Ba2 Zn3 In1 Ge4'
_space_group_name_H-M_alt 'P -4 m 2'
_space_group_IT_number 115
_space_group_name_Hall 'P -4 -2'
_cell_length_a 4.6410
_cell_length_b 4.6410
_cell_length_c 10.9192
_cell_angle_alpha 90.00
_cell_angle_beta 90.00
_cell_angle_gamma 90.00
loop_
_atom_site_label
_atom_site_type_symbol
_atom_site_fract_x
_atom_site_fract_y
_atom_site_fract_z
Ba1 Ba 0.0000 0.5000 0.2411
Zn1 Zn 0.0000 0.5000 0.8797
Zn2 Zn 0.5000 0.5000 0.5000
In1 In 0.0000 0.0000 0.5000
Ge1 Ge 0.0000 0.0000 0.0000
Ge2 Ge 0.0000 0.5000 0.6416
Ge3 Ge 0.5000 0.5000 0.0000



(11)
# Ac2BiAs3Ir4 (PBE, optimized geometry)
# Fermi-level density of states ... 5.174 states/eV/f.u.
# E_form ... -550 kJ/mol of formula units
# Magnetic moment ... 0.00 μB/cell
data_Ac2BiAs3Ir4
_chemical_formula_sum 'Ac2 Bi1 As3 Ir4'
_space_group_name_H-M_alt 'P -4 m 2'
_space_group_IT_number 115
_space_group_name_Hall 'P -4 -2'
_cell_length_a 4.3166
_cell_length_b 4.3166
_cell_length_c 11.2643
_cell_angle_alpha 90.00
_cell_angle_beta 90.00
_cell_angle_gamma 90.00
loop_
_atom_site_label
_atom_site_type_symbol
_atom_site_fract_x
_atom_site_fract_y
_atom_site_fract_z
Ac1 Ac 0.0000 0.5000 0.2387
Bi1 Bi 0.0000 0.0000 0.5000
As1 As 0.0000 0.5000 0.8742
As2 As 0.5000 0.5000 0.5000
Ir1 Ir 0.0000 0.0000 0.0000
Ir2 Ir 0.0000 0.5000 0.6581
Ir3 Ir 0.5000 0.5000 0.0000